{"formula": "P3Pt", "functional": "PBEsol", "state": "relaxed", "formation_energy_ev_per_atom": 0.37, "relative_energy_mev_per_atom": 46, "n_ef_per_ev_cell": 1.949, "sg": "Cmmm (65)", "final_energy_ev_per_fu": -22.84, "lattice_angstrom": [[1.5019, -2.2749, 0.0000], [1.5019, 2.2749, 0.0000], [0.0000, 0.0000, 8.3732]], "species": ["P", "P", "P", "Pt"], "frac_coords": [[0.0000, 0.0000, 0.0000], [0.5000, 0.5000, 0.2544], [0.5000, 0.5000, 0.7456], [0.0000, 0.0000, 0.5000]]}